Entry 1:
# ScPaIr

A relaxed ScPaIr crystal (PBE, Alexandria).

Summary:
DFT total energy = -25.80 eV per cell
total moment = 0.0 Bohr magnetons per cell
crystal system = trigonal
excess energy over the best structure of this formula in the dataset = 0.57 eV per formula unit
DOS at the Fermi energy = 3.04 states/eV/cell

Cell: 3.0513 4.7304 4.7304 Å, 120.00 90.00 90.00°
Last column: nearest neighbours and their distance in Å.
Atoms (fractional coordinates):
Sc1 0.6650 0.6667 0.3333  3 Ir 2.93, 3 Pa 2.94, 2 Sc 3.05
Pa1 0.0218 0.0000 0.0000  3 Ir 2.87, 3 Sc 2.94, 2 Pa 3.05
Ir1 0.3132 0.3333 0.6667  3 Pa 2.87, 3 Sc 2.93, 2 Ir 3.05

Entry 2:
# ScPaSi2Ir5

A relaxed ScPaSi2Ir5 crystal (PBE, Alexandria).

Summary:
DFT total energy = -75.99 eV per cell
total moment = 0.0 Bohr magnetons per cell
crystal system = tetragonal
formation energy from raw total energies = -0.56 eV/atom
DOS at the Fermi energy = 5.29 states/eV/cell

Cell: 3.9269 3.9269 11.4178 Å, 90.00 90.00 90.00°
Last column: nearest neighbours and their distance in Å.
Atoms (fractional coordinates):
Sc1 0.0000 0.0000 0.5000  4 Ir 2.78
Pa1 0.0000 0.0000 0.0000  8 Ir 2.82
Si1 0.5000 0.5000 0.2962  5 Ir 2.33-2.39
Si2 0.5000 0.5000 0.7038  5 Ir 2.33-2.39
Ir1 0.0000 0.5000 0.1775  2 Si 2.39
Ir2 0.5000 0.0000 0.1775  2 Si 2.39
Ir3 0.0000 0.5000 0.8225  2 Si 2.39
Ir4 0.5000 0.0000 0.8225  2 Si 2.39
Ir5 0.5000 0.5000 0.5000  2 Si 2.33

Entry 3:
# ScPaTcIr

A relaxed ScPaTcIr crystal (PBE, Alexandria).

Summary:
DFT total energy = -37.30 eV per cell
total moment = 0.0 Bohr magnetons per cell
crystal system = cubic
DOS at the Fermi energy = 3.70 states/eV/cell

Cell: 4.7476 4.7476 4.7476 Å, 60.00 60.00 60.00°
Last column: nearest neighbours and their distance in Å.
Atoms (fractional coordinates):
Sc1 0.0000 0.0000 0.0000  4 Tc 2.91, 4 Ir 2.91
Pa1 0.5000 0.5000 0.5000  4 Ir 2.91, 4 Tc 2.91
Tc1 0.7500 0.7500 0.7500  4 Sc 2.91, 4 Pa 2.91
Ir1 0.2500 0.2500 0.2500  4 Sc 2.91, 4 Pa 2.91

Entry 4:
# ScPaTeIr

A relaxed ScPaTeIr crystal (PBE, Alexandria).

Summary:
DFT total energy = -31.33 eV per cell
total moment = 0.0 Bohr magnetons per cell
crystal system = trigonal
formation energy from raw total energies = -0.87 eV/atom
DOS at the Fermi energy = 4.94 states/eV/cell

Cell: 4.0264 4.0270 7.4529 Å, 90.00 105.67 120.00°
Last column: nearest neighbours and their distance in Å.
Atoms (fractional coordinates):
Sc1 0.4973 0.1466 0.6592  3 Ir 2.72-2.73, 3 Te 3.04
Pa1 0.1033 0.9496 0.0681  3 Ir 2.75
Te1 0.9795 0.3878 0.3824  3 Sc 3.04, 3 Pa 3.22, 1 Ir 3.38
Ir1 0.2978 0.5468 0.8600  3 Sc 2.72-2.73, 3 Pa 2.75

Q: What is the formula in the third record?
A: ScPaTcIr